(1)
DFT (PBE) results for a relaxed structure of Li2CoAgIr.

The value obtained for the formation energy is 0.69 eV per atom.

The space group is P4/mmm (No. 123) and the conventional cell measures 4.6009, 4.6009 and 4.4869 Å, with angles of 90.00, 90.00 and 90.00 degrees. Symmetry generates all atoms from Li at (0.0000, 0.5000, 0.0000), Co at (0.0000, 0.0000, 0.5000), Ag at (0.5000, 0.5000, 0.5000) and Ir at (0.0000, 0.0000, 0.0000).

(2)
DFT (PBE) results for a relaxed structure of Li2CoAgIr.

The value obtained for the formation energy is 1.15 eV per atom.

The space group is P4/mmm (No. 123) and the conventional cell measures 4.4649, 4.4649 and 5.0943 Å, with angles of 90.00, 90.00 and 90.00 degrees. Symmetry generates all atoms from Li at (0.0000, 0.5000, 0.0000), Co at (0.0000, 0.0000, 0.5000), Ag at (0.5000, 0.5000, 0.5000) and Ir at (0.5000, 0.5000, 0.0000).

| no. | relative energy among the computed polymorphs (eV/f.u.) |
| --- | --- |
| 1 | 0.00 |
| 2 | 2.28 |